Ca2SiSnAu6 GGA-PBE optimized geometry; SG = Pmmn (59); ΔE_f (raw) = -0.4429 eV/atom; magnetic moment = 0.00 μB per formula unit; VASP energy = -75.045 eV for the cell shown
1.0
5.774 0.000 0.000
0.000 8.988 0.000
0.000 0.000 8.995
Ca Au Si Sn
4 12 2 2
direct
0.500 0.743 0.751
0.000 0.257 0.749
0.000 0.257 0.251
0.500 0.743 0.249
0.252 0.458 0.500
0.248 0.542 0.000
0.000 0.881 0.752
0.748 0.458 0.500
0.754 0.001 0.500
0.500 0.119 0.252
0.246 0.001 0.500
0.500 0.119 0.748
0.000 0.881 0.248
0.254 0.999 0.000
0.752 0.542 0.000
0.746 0.999 0.000
0.500 0.239 0.500
0.000 0.761 0.000
0.500 0.287 0.000
0.000 0.713 0.500